The following is a DFT calculation (PBE) of a relaxed structure of Pm4TlIr.

The distance to the lowest polymorph of the same formula is 5.73 kJ per mole of atoms. The value obtained for the total energy is -32.71 eV/f.u. The mass density comes out at 9.08 g/cm³. As for the formation enthalpy at 0 K: -0.41 eV per atom. The density of states at the Fermi level comes out at 1.0202 states/eV per atom.

The structure belongs to space group C2/c (No. 15); the cell edges are 8.9267, 13.5289 and 6.2081 Å and the angles 90.00°, 107.69° and 90.00°. The asymmetric unit holds Pm at (0.1103, 0.1733, 0.0524), Pm at (0.2194, 0.4234, 0.3903), Tl at (0.0000, 0.3773, 0.7500) and Ir at (0.0000, 0.0012, 0.7500).


The following is a DFT calculation (PBE) of a relaxed structure of TlNiW.

The distance to the lowest polymorph of the same formula is 10.43 kJ per mole of atoms. The value obtained for the total energy is -19.16 eV/f.u. The mass density comes out at 14.47 g/cm³. As for the formation enthalpy at 0 K: 0.65 eV per atom. The density of states at the Fermi level comes out at 1.1295 states/eV per atom.

The structure belongs to space group P3m1 (No. 156); the cell edges are 2.9498, 2.9498 and 6.8056 Å and the angles 90.00°, 90.00° and 120.00°. The asymmetric unit holds Tl at (0.0000, 0.0000, 0.0000), Ni at (0.3333, 0.6667, 0.6624) and W at (0.6667, 0.3333, 0.3815).


The following is a DFT calculation (PBE) of a relaxed structure of Nd2SmSc.

The distance to the lowest polymorph of the same formula is 1.95 kJ per mole of atoms. The value obtained for the total energy is -20.35 eV/f.u. The mass density comes out at 6.26 g/cm³. As for the formation enthalpy at 0 K: 0.06 eV per atom. The density of states at the Fermi level comes out at 1.4971 states/eV per atom.

The structure belongs to space group R3m (No. 160, hexagonal axes); the cell edges are 3.5843, 3.5843 and 34.5871 Å and the angles 90.00°, 90.00° and 120.00°. The asymmetric unit holds Nd at (0.0000, 0.0000, 0.0000), Nd at (0.0000, 0.0000, 0.1743), Sm at (0.0000, 0.0000, 0.4197) and Sc at (0.0000, 0.0000, 0.5873).


The following is a DFT calculation (PBE) of a relaxed structure of DySn2Pd7Au2.

The value obtained for the total energy is -61.09 eV/f.u. The mass density comes out at 11.78 g/cm³. As for the formation enthalpy at 0 K: -0.46 eV per atom. The density of states at the Fermi level comes out at 0.5154 states/eV per atom.

The structure belongs to space group C2/m (No. 12); the cell edges are 5.9046, 5.7736 and 12.7225 Å and the angles 90.00°, 90.12° and 90.00°. The asymmetric unit holds Dy at (0.0000, 0.0000, 0.0000), Sn at (0.0008, 0.0000, 0.6793), Pd at (0.0000, 0.5000, 0.0000), Pd at (0.2476, 0.0000, 0.4997), Pd at (0.2505, 0.2499, 0.1624) and Au at (0.0002, 0.5000, 0.3173).


The following is a DFT calculation (PBE) of a relaxed structure of Si2AgSb.

Its uncorrected formation energy is 0.5566 eV/atom. The value obtained for the total energy is -15.59 eV/f.u. The mass density comes out at 6.02 g/cm³. The density of states at the Fermi level comes out at 0.3660 states/eV per atom.

The structure belongs to space group Pmmm (No. 47); the cell edges are 3.3269, 4.6822 and 5.0619 Å and the angles 90.00°, 90.00° and 90.00°. The asymmetric unit holds Si at (0.0000, 0.0000, 0.0000), Si at (0.5000, 0.5000, 0.0000), Ag at (0.0000, 0.5000, 0.5000) and Sb at (0.5000, 0.0000, 0.5000).


The following is a DFT calculation (PBE) of a relaxed structure of MnSbAu2.

Its uncorrected formation energy is 0.0838 eV/atom. The value obtained for the total energy is -19.51 eV/f.u. The mass density comes out at 11.24 g/cm³. The density of states at the Fermi level comes out at 0.5198 states/eV per atom.

The structure belongs to space group R3m (No. 160, hexagonal axes); the cell edges are 4.3386, 4.3386 and 15.5174 Å and the angles 90.00°, 90.00° and 120.00°. The asymmetric unit holds Mn at (0.0000, 0.0000, 0.0000), Sb at (0.0000, 0.0000, 0.1818), Au at (0.0000, 0.0000, 0.4041) and Au at (0.0000, 0.0000, 0.6041).


The following is a DFT calculation (PBE) of a relaxed structure of LiCaPuPb.

The value obtained for the total energy is -22.35 eV/f.u. The mass density comes out at 7.32 g/cm³. As for the formation enthalpy at 0 K: -0.10 eV per atom. The density of states at the Fermi level comes out at 2.9484 states/eV per atom.

The structure belongs to space group F-43m (No. 216); the cell edges are 7.6764, 7.6764 and 7.6764 Å and the angles 90.00°, 90.00° and 90.00°. The asymmetric unit holds Li at (0.0000, 0.0000, 0.0000), Ca at (0.2500, 0.2500, 0.7500), Pu at (0.2500, 0.2500, 0.2500) and Pb at (0.0000, 0.0000, 0.5000).


The following is a DFT calculation (PBE) of a relaxed structure of Y2CoCl.

The distance to the lowest polymorph of the same formula is 28.57 kJ per mole of atoms. Its uncorrected formation energy is -0.5298 eV/atom. The value obtained for the total energy is -24.00 eV/f.u. The mass density comes out at 5.37 g/cm³. The density of states at the Fermi level comes out at 1.0507 states/eV per atom.

The structure belongs to space group Cm (No. 8); the cell edges are 10.8996, 3.4215 and 4.5180 Å and the angles 90.00°, 90.06° and 90.00°. The asymmetric unit holds Y at (0.0000, 0.0000, 0.0000), Y at (0.2345, 0.5000, 0.5007), Co at (0.4882, 0.0000, 0.5001) and Cl at (0.2607, 0.0000, 0.0009).


The following is a DFT calculation (PBE) of a relaxed structure of SrMnCl.

Its uncorrected formation energy is -0.1119 eV/atom. The value obtained for the total energy is -13.03 eV/f.u. The mass density comes out at 3.22 g/cm³. The density of states at the Fermi level comes out at 0.6181 states/eV per atom.

The structure belongs to space group F-43m (No. 216); the cell edges are 7.1634, 7.1634 and 7.1634 Å and the angles 90.00°, 90.00° and 90.00°. The asymmetric unit holds Sr at (0.0000, 0.0000, 0.0000), Mn at (0.0000, 0.0000, 0.5000) and Cl at (0.2500, 0.2500, 0.2500).


The following is a DFT calculation (PBE) of a relaxed structure of ZrGa2Ir2.

The distance to the lowest polymorph of the same formula is 8.17 kJ per mole of atoms. The value obtained for the total energy is -34.69 eV/f.u. The mass density comes out at 12.54 g/cm³. As for the formation enthalpy at 0 K: -0.47 eV per atom. The density of states at the Fermi level comes out at 0.7259 states/eV per atom.

The structure belongs to space group P4/mbm (No. 127); the cell edges are 7.4266, 7.4266 and 2.9539 Å and the angles 90.00°, 90.00° and 90.00°. The asymmetric unit holds Zr at (0.0000, 0.0000, 0.0000), Ga at (0.1564, 0.3436, 0.5000) and Ir at (0.1406, 0.6406, 0.0000).


The following is a DFT calculation (PBE) of a relaxed structure of TbGd2Ga.

The distance to the lowest polymorph of the same formula is 0.38 kJ per mole of atoms. The value obtained for the total energy is -36.87 eV/f.u. The mass density comes out at 8.41 g/cm³. As for the formation enthalpy at 0 K: -0.26 eV per atom. The density of states at the Fermi level comes out at 0.7671 states/eV per atom.

The structure belongs to space group P4/mmm (No. 123); the cell edges are 4.7283, 4.7283 and 4.7947 Å and the angles 90.00°, 90.00° and 90.00°. The asymmetric unit holds Tb at (0.0000, 0.0000, 0.0000), Gd at (0.0000, 0.5000, 0.5000) and Ga at (0.5000, 0.5000, 0.0000).


The following is a DFT calculation (PBE) of a relaxed structure of NiRu4Au.

The value obtained for the total energy is -41.82 eV/f.u. The mass density comes out at 11.71 g/cm³. As for the formation enthalpy at 0 K: 0.72 eV per atom. The density of states at the Fermi level comes out at 1.5556 states/eV per atom.

The structure belongs to space group F-43m (No. 216); the cell edges are 7.2071, 7.2071 and 7.2071 Å and the angles 90.00°, 90.00° and 90.00°. The asymmetric unit holds Ni at (0.0000, 0.0000, 0.0000), Ru at (0.1252, 0.1252, 0.6252) and Au at (0.2500, 0.2500, 0.2500).


> Among the records above, which one has the lowest total energy?

DySn2Pd7Au2


> The lowest mass density belongs to which entry?

SrMnCl